(1)
First-principles (PBE) data for a relaxed Hf2ZrTe crystal, as listed in Alexandria.

The structure in POSCAR format:
```
Hf2ZrTe
1.0
1.9294 -10.1555 0.0000
1.9294 10.1555 0.0000
0.0000 0.0000 4.6046
Hf Zr Te
4 2 2
Cartesian
1.9294 9.0968 3.4535
1.9294 1.2655 3.4535
1.9294 -1.2655 1.1512
1.9294 -9.0968 1.1512
1.9294 6.2618 1.1512
1.9294 -6.2618 3.4535
1.9294 3.3547 1.1512
1.9294 -3.3547 3.4535
```

Output
As for the crystal system: orthorhombic. For the electronic total energy, the calculation gives -66.14 eV for the cell shown. Its calculated volume is 180.4 Å³/cell.



(2)
First-principles (PBE) data for a relaxed Hf3ZrTe8 crystal, as listed in Alexandria.

The structure in POSCAR format:
```
Hf3ZrTe8
1.0
6.8767 -3.9717 0.0000
6.8767 3.9717 0.0000
-4.6424 0.0000 7.4031
Hf Zr Te
3 1 8
Cartesian
0.0000 0.0000 0.0000
3.4383 1.9859 0.0000
3.4383 -1.9859 0.0000
6.8767 0.0000 0.0000
5.7209 2.0021 1.7842
2.2921 0.0000 1.7743
-0.0762 0.0000 5.6187
3.3900 2.0021 5.6189
5.7209 -2.0021 1.7842
9.1872 0.0000 1.7844
6.8189 0.0000 5.6288
3.3900 -2.0021 5.6189
```

Output
As for the crystal system: monoclinic. For the electronic total energy, the calculation gives -73.60 eV for the cell shown. Its calculated volume is 404.4 Å³/cell.



What is the formula in the second record? Hf3ZrTe8